Entry 1:
The following is a DFT calculation (PBE) of a geometry-optimized LuZnSn structure.

abc: 4.628 4.628 4.628
angles: 60.00 60.00 60.00
Fractional positions:
1 Lu 0.000 0.000 0.000
2 Zn 0.750 0.750 0.750
3 Sn 0.500 0.500 0.500

N(E_F) ... 0.544 states/eV/atom
Formation enthalpy at 0 K ... -0.32 eV/atom
Crystal system ... cubic
Total magnetic moment ... 0.000 μB/f.u.
Raw total energy ... -10.76 eV/cell



Entry 2:
The following is a DFT calculation (PBE) of a geometry-optimized Nd2Zn5Pb structure.

abc: 8.642 8.642 9.136
angles: 90.00 90.00 149.81
Fractional positions:
1 Nd 0.000 0.000 0.000
2 Nd 0.000 0.000 0.500
3 Nd 0.205 0.795 0.750
4 Nd 0.795 0.205 0.250
5 Zn 0.185 0.815 0.109
6 Zn 0.185 0.815 0.391
7 Zn 0.340 0.660 0.015
8 Zn 0.340 0.660 0.485
9 Zn 0.391 0.609 0.750
10 Zn 0.609 0.391 0.250
11 Zn 0.660 0.340 0.515
12 Zn 0.660 0.340 0.985
13 Zn 0.815 0.185 0.609
14 Zn 0.815 0.185 0.891
15 Pb 0.446 0.554 0.250
16 Pb 0.554 0.446 0.750

N(E_F) ... 0.616 states/eV/atom
Formation enthalpy at 0 K ... -0.37 eV/atom
Crystal system ... orthorhombic
Total magnetic moment ... 0.000 μB/f.u.
Raw total energy ... -45.12 eV/cell



> Among the records above, which one has the highest N(E_F)?

Nd2Zn5Pb



> formation enthalpy at 0 K of number 2 (Nd2Zn5Pb)?

-0.37 eV/atom